[1]
First-principles (GGA-PBE) data for a relaxed structure of BeBiB, as listed in the Alexandria database.

abc: 3.534 3.608 9.366
angles: 81.01 86.41 61.74
Space group P-1 (No. 2)
Inequivalent atoms, fractional coordinates:
Be 0.248 0.024 0.442 (multiplicity 2)
Bi 0.263 0.370 0.802 (multiplicity 2)
B 0.251 0.487 0.530 (multiplicity 2)

Results
Energy above the most stable polymorph in this dataset ... 0.0906 eV/atom
E_form ... 0.206 eV per atom

[2]
First-principles (GGA-PBE) data for a relaxed structure of LiEr2GaAu4, as listed in the Alexandria database.

abc: 4.8105 4.8105 23.7615
angles: 90.00 90.00 120.00
Space group R-3m (No. 166, hexagonal axes)
Inequivalent atoms, fractional coordinates:
Li 0.0000 0.0000 0.0000 (multiplicity 3)
Er 0.0000 0.0000 0.2474 (multiplicity 6)
Ga 0.0000 0.0000 0.5000 (multiplicity 3)
Au 0.0000 0.0000 0.1226 (multiplicity 6)
Au 0.0000 0.0000 0.3710 (multiplicity 6)

Results
E_form ... -0.713 eV per atom

[3]
First-principles (GGA-PBE) data for a relaxed structure of Ac4Ag3Sn, as listed in the Alexandria database.

abc: 4.501 4.891 12.016
angles: 90.00 90.00 90.00
Space group Pmm2 (No. 25)
Inequivalent atoms, fractional coordinates:
Ac 0.000 0.000 0.000 (multiplicity 1)
Ac 0.000 0.500 0.278 (multiplicity 1)
Ac 0.500 0.000 0.493 (multiplicity 1)
Ac 0.500 0.500 0.784 (multiplicity 1)
Ag 0.000 0.500 0.560 (multiplicity 1)
Ag 0.500 0.000 0.212 (multiplicity 1)
Ag 0.500 0.500 0.067 (multiplicity 1)
Sn 0.000 0.000 0.716 (multiplicity 1)

Results
E_form ... -0.360 eV per atom

[4]
First-principles (GGA-PBE) data for a relaxed structure of Y2AlGaNi6, as listed in the Alexandria database.

abc: 4.933 6.225 6.237
angles: 81.54 66.71 66.72
Space group P-1 (No. 2)
Inequivalent atoms, fractional coordinates:
Y 0.249 0.296 0.206 (multiplicity 2)
Al 0.000 0.000 0.000 (multiplicity 1)
Ga 0.500 0.500 0.500 (multiplicity 1)
Ni 0.243 0.757 0.256 (multiplicity 2)
Ni 0.250 0.926 0.575 (multiplicity 2)
Ni 0.257 0.243 0.744 (multiplicity 2)

Results
E_form ... -0.390 eV per atom

[5]
First-principles (GGA-PBE) data for a relaxed structure of Zn2Pd5Pt4, as listed in the Alexandria database.

abc: 2.731 7.345 18.389
angles: 90.00 90.00 90.00
Space group Immm (No. 71)
Inequivalent atoms, fractional coordinates:
Zn 0.000 0.000 0.241 (multiplicity 4)
Pd 0.000 0.184 0.357 (multiplicity 8)
Pd 0.000 0.500 0.000 (multiplicity 2)
Pt 0.000 0.000 0.108 (multiplicity 4)
Pt 0.000 0.312 0.500 (multiplicity 4)

Results
Energy above the most stable polymorph in this dataset ... 0.1448 eV/atom
E_form ... 0.028 eV per atom

[6]
First-principles (GGA-PBE) data for a relaxed structure of Ca2PaRhO6, as listed in the Alexandria database.

abc: 5.660 5.842 9.749
angles: 90.00 123.96 90.00
Space group P2_1/c (No. 14)
Inequivalent atoms, fractional coordinates:
Ca 0.227 0.055 0.246 (multiplicity 4)
Pa 0.500 0.000 0.000 (multiplicity 2)
Rh 0.000 0.000 0.500 (multiplicity 2)
O 0.137 0.205 0.945 (multiplicity 4)
O 0.234 0.699 0.940 (multiplicity 4)
O 0.354 0.043 0.742 (multiplicity 4)

Results
E_form (uncorrected) ... -2655 meV/atom

[7]
First-principles (GGA-PBE) data for a relaxed structure of CsHf3Sc, as listed in the Alexandria database.

abc: 5.373 5.373 5.373
angles: 90.00 90.00 90.00
Space group Pm-3m (No. 221)
Inequivalent atoms, fractional coordinates:
Cs 0.000 0.000 0.000 (multiplicity 1)
Hf 0.000 0.500 0.500 (multiplicity 3)
Sc 0.500 0.500 0.500 (multiplicity 1)

Results
Energy above the most stable polymorph in this dataset ... 0.0000 eV/atom
E_form ... 1.512 eV per atom

[8]
First-principles (GGA-PBE) data for a relaxed structure of Bi2HSe, as listed in the Alexandria database.

abc: 7.137 7.137 7.137
angles: 90.00 90.00 90.00
Space group Fm-3m (No. 225)
Inequivalent atoms, fractional coordinates:
Bi 0.250 0.250 0.250 (multiplicity 8)
H 0.000 0.000 0.000 (multiplicity 4)
Se 0.000 0.000 0.500 (multiplicity 4)

Results
Energy above the most stable polymorph in this dataset ... 0.1265 eV/atom

[9]
First-principles (GGA-PBE) data for a relaxed structure of CeThTe2S, as listed in the Alexandria database.

abc: 4.441 4.441 14.983
angles: 90.00 90.00 90.00
Space group P4/nmm (No. 129, origin choice 2)
Inequivalent atoms, fractional coordinates:
Ce 0.250 0.250 0.089 (multiplicity 2)
Th 0.250 0.250 0.617 (multiplicity 2)
Te 0.250 0.250 0.303 (multiplicity 2)
Te 0.250 0.250 0.873 (multiplicity 2)
S 0.250 0.750 0.500 (multiplicity 2)

Results
E_form (uncorrected) ... -1493 meV/atom

[10]
First-principles (GGA-PBE) data for a relaxed structure of La6GeP4, as listed in the Alexandria database.

abc: 4.277 13.999 21.454
angles: 90.00 90.00 90.00
Space group Cmcm (No. 63)
Inequivalent atoms, fractional coordinates:
La 0.000 0.000 0.000 (multiplicity 4)
La 0.000 0.183 0.250 (multiplicity 4)
La 0.000 0.275 0.583 (multiplicity 8)
La 0.000 0.453 0.163 (multiplicity 8)
Ge 0.000 0.162 0.750 (multiplicity 4)
P 0.000 0.090 0.128 (multiplicity 8)
P 0.000 0.362 0.043 (multiplicity 8)

Results
E_form ... -1.339 eV per atom

[11]
First-principles (GGA-PBE) data for a relaxed structure of Ac2NpMnS6, as listed in the Alexandria database.

abc: 6.781 7.396 11.837
angles: 90.00 123.73 90.00
Space group P2_1/c (No. 14)
Inequivalent atoms, fractional coordinates:
Ac 0.218 0.088 0.248 (multiplicity 4)
Np 0.500 0.000 0.000 (multiplicity 2)
Mn 0.000 0.000 0.500 (multiplicity 2)
S 0.126 0.196 0.946 (multiplicity 4)
S 0.256 0.688 0.948 (multiplicity 4)
S 0.346 0.026 0.740 (multiplicity 4)

Results
E_form (uncorrected) ... -1601 meV/atom

[12]
First-principles (GGA-PBE) data for a relaxed structure of Li2OsPbO, as listed in the Alexandria database.

abc: 3.859 3.859 5.138
angles: 90.00 90.00 90.00
Space group P4/mmm (No. 123)
Inequivalent atoms, fractional coordinates:
Li 0.000 0.500 0.000 (multiplicity 2)
Os 0.000 0.000 0.500 (multiplicity 1)
Pb 0.500 0.500 0.500 (multiplicity 1)
O 0.500 0.500 0.000 (multiplicity 1)

Results
E_form (uncorrected) ... -200 meV/atom